Record 1
! Y3NiAg2 | Alexandria | PBE | relaxed; values from VASP
&SYSTEM
  ibrav = 0, nat = 6, ntyp = 3
/
ATOMIC_SPECIES
Y 88.91 Y.upf
Ni 58.69 Ni.upf
Ag 107.87 Ag.upf
ATOMIC_POSITIONS angstrom
Y 0.000 0.000 0.000
Y 0.000 0.000 3.796
Y 0.000 0.000 7.058
Ni 1.772 1.772 5.427
Ag 1.772 1.772 1.872
Ag 1.772 1.772 8.982
CELL_PARAMETERS angstrom
3.544 0.000 0.000
0.000 3.544 0.000
0.000 0.000 10.854
! Calculated volume: 136.3 Å³ per cell
! Size of the total moment: 0.000 μB per atom
! DOS(E_F): 6.050 states/eV/f.u.
! Uncorrected energy: -5.481 eV per atom


Record 2
! RbAgSbI5 | Alexandria | PBE | relaxed; values from VASP
&SYSTEM
  ibrav = 0, nat = 16, ntyp = 4
/
ATOMIC_SPECIES
Rb 85.47 Rb.upf
Ag 107.87 Ag.upf
Sb 121.76 Sb.upf
I 126.90 I.upf
ATOMIC_POSITIONS angstrom
Rb 1.795 4.900 7.934
Rb 3.975 -4.900 2.645
Ag 3.975 4.254 2.645
Ag 1.795 -4.254 7.934
Sb 5.064 0.000 0.000
Sb 2.885 0.000 5.289
I -2.148 0.917 9.937
I 2.178 2.799 4.274
I 0.032 -0.917 4.648
I 5.771 2.799 1.015
I 1.795 1.083 7.934
I 3.975 -1.083 2.645
I -0.002 -2.799 9.564
I 5.738 0.917 5.931
I 3.591 -2.799 6.304
I 7.917 -0.917 0.642
CELL_PARAMETERS angstrom
5.064 -6.928 0.000
5.064 6.928 0.000
-4.359 0.000 10.579
! Calculated volume: 742.3 Å³ per cell
! Formation energy without anion corrections: -13.63 kcal/mol of atoms
! Size of the total moment: 0.000 μB per atom


Record 3
! SrAl9Ni2 | Alexandria | PBE | relaxed; values from VASP
&SYSTEM
  ibrav = 0, nat = 24, ntyp = 3
/
ATOMIC_SPECIES
Sr 87.62 Sr.upf
Al 26.98 Al.upf
Ni 58.69 Ni.upf
ATOMIC_POSITIONS angstrom
Sr 5.303 2.652 0.894
Sr 0.000 2.652 2.681
Al 5.303 -2.652 2.681
Al 3.994 -0.534 1.370
Al 6.612 -0.534 1.370
Al 2.118 1.343 0.418
Al 8.489 1.343 0.418
Al 3.994 4.769 -1.370
Al 1.309 -0.534 2.206
Al 2.118 3.961 0.418
Al 3.186 -1.343 3.993
Al 2.118 6.646 -0.418
Al 3.186 1.343 3.157
Al 3.994 5.837 1.370
Al 1.309 0.534 4.945
Al -3.186 3.961 3.157
Al 3.186 3.961 3.157
Al -1.309 5.837 2.206
Al 1.309 5.837 2.206
Al 0.000 7.955 0.894
Ni 0.000 0.000 0.000
Ni 2.652 2.652 -1.788
Ni 2.652 -2.652 1.788
Ni 0.000 5.303 0.000
CELL_PARAMETERS angstrom
-5.303 5.303 3.575
5.303 -5.303 3.575
5.303 5.303 -3.575
! Calculated volume: 402.2 Å³ per cell
! Size of the total moment: 0.000 μB per atom
! DOS(E_F): 5.206 states/eV/f.u.
! Uncorrected energy: -4.229 eV per atom